(1)
DFT (PBE) results for crystalline HgRh at its relaxed geometry.

abc: 3.6331 3.6331 6.2833
angles: 90.00 90.00 90.00
Fractional coordinates of all 4 atoms:
Hg: 0.2500 0.2500 0.1430
Hg: 0.7500 0.7500 0.8570
Rh: 0.2500 0.7500 0.5000
Rh: 0.7500 0.2500 0.5000

- energy of formation (eV per atom) = 0.476
- D(E_F) (states/eV/f.u.) = 2.4
- magnetization (μB per atom) = 0.334
- symmetry = No. 129

(2)
DFT (PBE) results for crystalline Sb3S5 at its relaxed geometry.

abc: 8.5673 8.5673 5.4121
angles: 90.00 90.00 120.00
Fractional coordinates of all 16 atoms:
Sb: 0.0000 0.3417 0.2500
Sb: 0.0000 0.6583 0.7500
Sb: 0.3417 0.0000 0.2500
Sb: 0.3417 0.3417 0.7500
Sb: 0.6583 0.0000 0.7500
Sb: 0.6583 0.6583 0.2500
S: 0.0000 0.2597 0.7500
S: 0.0000 0.7403 0.2500
S: 0.2597 0.0000 0.7500
S: 0.2597 0.2597 0.2500
S: 0.3333 0.6667 0.0000
S: 0.3333 0.6667 0.5000
S: 0.6667 0.3333 0.0000
S: 0.6667 0.3333 0.5000
S: 0.7403 0.0000 0.2500
S: 0.7403 0.7403 0.7500

- D(E_F) (states/eV/f.u.) = 1.0
- magnetization (μB per atom) = 0.000
- symmetry = No. 193
- uncorrected formation energy (eV/atom) = -0.02